No. 1
Na3InHg3 | PBE | relaxed

Structure (POSCAR):
```
Na3InHg3
1.0
4.2333 -6.7480 0.0000
4.2333 6.7480 0.0000
-3.5281 0.0000 7.1758
Na In Hg
6 2 6
direct
0.1185 0.8815 0.0000
0.2783 0.7217 0.5000
0.4401 0.4401 0.1637
0.5599 0.5599 0.8363
0.7217 0.2783 0.5000
0.8815 0.1185 0.0000
0.1185 0.1185 0.7065
0.8815 0.8815 0.2935
0.1176 0.4939 0.8580
0.2720 0.2720 0.4194
0.4939 0.1176 0.8580
0.5061 0.8824 0.1420
0.7280 0.7280 0.5806
0.8824 0.5061 0.1420
```

Results
As for the space group: C2/m (12).

No. 2
MgB3C3 | PBE | relaxed

Structure (POSCAR):
```
MgB3C3
1.0
4.6913 0.0000 0.0000
-2.3456 4.0628 0.0000
0.0000 0.0000 3.7463
Mg B C
1 3 3
direct
0.0000 0.0000 0.0000
0.0000 0.6605 0.5000
0.3395 0.3395 0.5000
0.6605 0.0000 0.5000
0.0000 0.3290 0.5000
0.3290 0.0000 0.5000
0.6710 0.6710 0.5000
```

Results
As for the space group: P-62m (189).

No. 3
Y4TmSc3 | PBE | relaxed

Structure (POSCAR):
```
Y4TmSc3
1.0
5.7109 -6.3970 0.0000
5.7109 6.3970 0.0000
0.0000 0.0000 3.3075
Y Tm Sc
4 1 3
direct
0.2418 0.2418 0.5000
0.2430 0.7570 0.0000
0.7570 0.2430 0.0000
0.7582 0.7582 0.5000
0.5000 0.5000 0.0000
0.0000 0.0000 0.0000
0.0000 0.5000 0.5000
0.5000 0.0000 0.5000
```

Results
As for the space group: Cmmm (65).

No. 4
HfThNi4 | PBE | relaxed

Structure (POSCAR):
```
HfThNi4
1.0
0.0000 3.5772 3.5772
3.5772 0.0000 3.5772
3.5772 3.5772 0.0000
Hf Th Ni
1 1 4
direct
0.0000 0.0000 0.0000
0.7500 0.7500 0.7500
0.3737 0.3737 0.3737
0.3737 0.3737 0.8789
0.3737 0.8789 0.3737
0.8789 0.3737 0.3737
```

Results
As for the space group: F-43m (216).

No. 5
K5SrHg6 | PBE | relaxed

Structure (POSCAR):
```
K5SrHg6
1.0
8.9621 -4.1234 0.0000
8.9621 4.1234 0.0000
-1.7619 0.0000 6.0930
K Sr Hg
5 1 6
direct
0.0000 0.0000 0.0000
0.1464 0.1464 0.6438
0.3046 0.3046 0.2288
0.6954 0.6954 0.7712
0.8536 0.8536 0.3562
0.5000 0.5000 0.0000
0.1431 0.5341 0.7380
0.3147 0.6853 0.5000
0.4659 0.8569 0.2620
0.5341 0.1431 0.7380
0.6853 0.3147 0.5000
0.8569 0.4659 0.2620
```

Results
As for the space group: C2/m (12).

No. 6
GdDy2In | PBE | relaxed

Structure (POSCAR):
```
GdDy2In
1.0
4.8658 0.0000 0.0000
0.0000 4.8658 0.0000
0.0000 0.0000 4.8227
Gd Dy In
1 2 1
direct
0.0000 0.0000 0.0000
0.0000 0.5000 0.5000
0.5000 0.0000 0.5000
0.5000 0.5000 0.0000
```

Results
As for the space group: P4/mmm (123).

The records above give, respectively, E_tot values of -1.2346 -7.0337 -5.7165 -7.1010 -1.0042 -6.7859 eV/atom.
The records above give, respectively, E_form values of -148.8 9.0 448.7 -351.2 -255.8 -280.0 meV/atom.